The following is a DFT calculation (PBE with a Hubbard U) of LiCrGe2O6 after structural relaxation.

a b c (Å): 5.276 6.583 6.583
angles (deg): 84.84 80.71 80.71
Last column: magnetic moment on the atom in μB.
Positions (direct):
Li: 0.250 0.269 0.731  0.00
Li: 0.750 0.731 0.269  0.00
Cr: 0.250 0.906 0.094  2.97
Cr: 0.750 0.094 0.906  2.97
Ge: 0.214 0.793 0.606  0.01
Ge: 0.286 0.394 0.207  0.01
Ge: 0.786 0.207 0.394  0.01
Ge: 0.714 0.606 0.793  0.01
O: 0.125 0.970 0.807  -0.03
O: 0.375 0.193 0.030  -0.03
O: 0.875 0.030 0.193  -0.03
O: 0.625 0.807 0.970  -0.03
O: 0.369 0.876 0.367  -0.01
O: 0.131 0.633 0.124  -0.01
O: 0.631 0.124 0.633  -0.01
O: 0.869 0.367 0.876  -0.01
O: 0.919 0.705 0.575  0.00
O: 0.581 0.425 0.295  0.00
O: 0.081 0.295 0.425  0.00
O: 0.419 0.575 0.705  0.00

Summary:
Volume: 11.1 Å³ per atom
Relative energy among the computed polymorphs: 0.003 eV per atom

***

The following is a DFT calculation (PBE with a Hubbard U) of LiCr2GeO6 after structural relaxation.

a b c (Å): 5.042 4.980 5.435
angles (deg): 62.89 61.72 59.26
Last column: magnetic moment on the atom in μB.
Positions (direct):
Li: 0.805 0.804 0.588  0.00
Cr: 0.519 0.520 0.450  2.98
Cr: 0.012 0.025 0.959  2.27
Ge: 0.321 0.311 0.049  0.03
O: 0.604 0.229 0.230  -0.07
O: 0.234 0.933 0.232  -0.03
O: 0.933 0.602 0.230  -0.04
O: 0.383 0.723 0.761  -0.08
O: 0.718 0.133 0.757  -0.04
O: 0.132 0.382 0.759  -0.11

Summary:
Volume: 9.9 Å³ per atom
Total energy: -6.892 eV/atom

***

The following is a DFT calculation (PBE with a Hubbard U) of LiCrGe2O6 after structural relaxation.

a b c (Å): 8.871 5.438 9.671
angles (deg): 76.95 90.00 90.00
Last column: magnetic moment on the atom in μB.
Positions (direct):
Li: 0.011 0.037 0.745  0.00
Li: 0.511 0.463 0.255  0.00
Li: 0.989 0.963 0.255  0.00
Li: 0.489 0.537 0.745  0.00
Cr: 0.842 0.537 0.749  2.97
Cr: 0.342 0.963 0.251  2.97
Cr: 0.158 0.463 0.251  2.97
Cr: 0.658 0.037 0.749  2.97
Ge: 0.156 0.274 0.953  0.01
Ge: 0.656 0.226 0.047  0.01
Ge: 0.844 0.726 0.047  0.01
Ge: 0.344 0.774 0.953  0.01
Ge: 0.659 0.824 0.446  0.01
Ge: 0.159 0.676 0.554  0.01
Ge: 0.341 0.176 0.554  0.01
Ge: 0.841 0.324 0.446  0.01
O: 0.167 0.185 0.142  -0.03
O: 0.667 0.315 0.858  -0.03
O: 0.833 0.815 0.858  -0.03
O: 0.333 0.685 0.142  -0.03
O: 0.975 0.324 0.886  -0.01
O: 0.475 0.176 0.114  -0.01
O: 0.025 0.676 0.114  -0.01
O: 0.525 0.824 0.886  -0.01
O: 0.210 0.011 0.882  0.00
O: 0.710 0.489 0.118  0.00
O: 0.790 0.989 0.118  0.00
O: 0.290 0.511 0.882  0.00
O: 0.668 0.756 0.637  -0.03
O: 0.168 0.744 0.363  -0.03
O: 0.332 0.244 0.363  -0.03
O: 0.832 0.256 0.637  -0.03
O: 0.497 0.744 0.367  -0.01
O: 0.997 0.756 0.633  -0.01
O: 0.503 0.256 0.633  -0.01
O: 0.003 0.244 0.367  -0.01
O: 0.813 0.657 0.389  0.00
O: 0.313 0.843 0.611  0.00
O: 0.187 0.343 0.611  0.00
O: 0.687 0.157 0.389  0.00

Summary:
Volume: 11.4 Å³ per atom
Relative energy among the computed polymorphs: 0.000 eV per atom